<1>
Below is a relaxed structure of AcNdSe2, with properties calculated at the PBE-GGA level.

Values from the calculation:
space group: Fm-3m, No. 225
crystal system: cubic
density of states at the Fermi level: 0.669 states/eV per atom

Lattice parameters (Å, degrees): 5.3124 5.3124 5.3124 60.00 60.00 60.00
Fractional coordinates of all 4 atoms:
Nd (0.5000, 0.5000, 0.5000)
Se (0.2500, 0.2500, 0.2500)
Se (0.7500, 0.7500, 0.7500)
Ac (0.0000, 0.0000, 0.0000)

<2>
Below is a relaxed structure of AcNdSe2, with properties calculated at the PBE-GGA level.

Values from the calculation:
space group: R-3m, No. 166
crystal system: trigonal
density of states at the Fermi level: 0.451 states/eV per atom

Lattice parameters (Å, degrees): 4.3523 4.3523 7.5147 73.17 73.17 60.00
Fractional coordinates of all 4 atoms:
Se (0.7451, 0.7451, 0.7647)
Se (0.2549, 0.2549, 0.2353)
Ac (0.5000, 0.5000, 0.5000)
Nd (0.0000, 0.0000, 0.0000)

<3>
Below is a relaxed structure of AcNdSe2, with properties calculated at the PBE-GGA level.

Values from the calculation:
space group: R3m, No. 160
crystal system: trigonal
density of states at the Fermi level: 0.241 states/eV per atom

Lattice parameters (Å, degrees): 4.2329 4.2329 7.9850 74.63 74.63 60.00
Fractional coordinates of all 4 atoms:
Se (0.0872, 0.0872, 0.7383)
Se (0.2463, 0.2463, 0.2611)
Nd (0.4948, 0.4948, 0.5157)
Ac (0.6717, 0.6717, 0.9849)

<4>
Below is a relaxed structure of AcNdSe2, with properties calculated at the PBE-GGA level.

Values from the calculation:
space group: Pmn2_1, No. 31
crystal system: orthorhombic
density of states at the Fermi level: 0.524 states/eV per atom

Lattice parameters (Å, degrees): 4.5427 6.9627 9.6752 90.00 89.96 89.99
Fractional coordinates of all 8 atoms:
Se (0.7015, 0.5613, 0.2019)
Se (0.2015, 0.1436, 0.4274)
Se (0.7008, 0.6436, 0.7886)
Se (0.2002, 0.0614, 0.0141)
Ac (0.7014, 0.4233, 0.5172)
Ac (0.2009, 0.9234, 0.6988)
Nd (0.2014, 0.8051, 0.2571)
Nd (0.7002, 0.3051, 0.9588)

Stability verdict: <2>, ahead by 5.3 kJ/mol of atoms